This record from the Alexandria database describes crystalline Cu2BSe at its relaxed geometry. The functional is PBE-GGA.

Cell: 4.1670 4.1670 13.0421 Å, 90.00 90.00 90.00°
Closest atoms and distances in Å follow each position.
Space group I-42d (No. 122)
Asymmetric unit:
Cu 0.1607 0.2500 0.1250 (multiplicity 8)  2 B 2.05
B 0.0000 0.0000 0.0000 (multiplicity 4)  4 Cu 2.05
Se 0.0000 0.0000 0.5000 (multiplicity 4)  4 Cu 2.40

Properties
Spin magnetization, μB per formula unit: 0.0
Uncorrected formation energy, meV per atom: 486
Energy relative to the lowest polymorph listed for this composition, meV/atom: 0
Crystal system: tetragonal

This record from the Alexandria database describes crystalline CuB3Se at its relaxed geometry. The functional is PBE-GGA.

Cell: 4.0698 4.0698 4.0698 Å, 90.00 90.00 90.00°
Closest atoms and distances in Å follow each position.
Space group Pm-3m (No. 221)
Asymmetric unit:
Cu 0.0000 0.0000 0.0000 (multiplicity 1)  12 B 2.88
B 0.0000 0.5000 0.5000 (multiplicity 3)  2 Se 2.03
Se 0.5000 0.5000 0.5000 (multiplicity 1)  6 B 2.03

Properties
Spin magnetization, μB per formula unit: 0.0
Uncorrected formation energy, meV per atom: 2128
Energy relative to the lowest polymorph listed for this composition, meV/atom: 534
Crystal system: cubic

This record from the Alexandria database describes crystalline CuB3Se at its relaxed geometry. The functional is PBE-GGA.

Cell: 3.9946 3.9946 3.9946 Å, 90.00 90.00 90.00°
Closest atoms and distances in Å follow each position.
Space group Pm-3m (No. 221)
Asymmetric unit:
Cu 0.0000 0.0000 0.0000 (multiplicity 1)  6 B 2.00
B 0.0000 0.0000 0.5000 (multiplicity 3)  2 Cu 2.00
Se 0.5000 0.5000 0.5000 (multiplicity 1)  12 B 2.82

Properties
Spin magnetization, μB per formula unit: 0.0
Uncorrected formation energy, meV per atom: 1594
Energy relative to the lowest polymorph listed for this composition, meV/atom: 0
Crystal system: cubic

This record from the Alexandria database describes crystalline CuB2Se at its relaxed geometry. The functional is PBE-GGA.

Cell: 4.9117 4.9117 8.9067 Å, 90.00 90.00 90.00°
Closest atoms and distances in Å follow each position.
Space group I-42d (No. 122)
Asymmetric unit:
Cu 0.0000 0.0000 0.0000 (multiplicity 4)  4 B 2.04
B 0.2426 0.2500 0.1250 (multiplicity 8)  2 Cu 2.04, 2 Se 2.08
Se 0.0000 0.0000 0.5000 (multiplicity 4)  4 B 2.08

Properties
Spin magnetization, μB per formula unit: 0.0
Uncorrected formation energy, meV per atom: 794
Crystal system: tetragonal

This record from the Alexandria database describes crystalline Cu2BSe at its relaxed geometry. The functional is PBE-GGA.

Cell: 5.9892 5.9892 5.9892 Å, 90.00 90.00 90.00°
Closest atoms and distances in Å follow each position.
Space group Fm-3m (No. 225)
Asymmetric unit:
Cu 0.2500 0.2500 0.2500 (multiplicity 8)  4 Se 2.59, 4 B 2.59
B 0.0000 0.0000 0.0000 (multiplicity 4)  8 Cu 2.59
Se 0.0000 0.0000 0.5000 (multiplicity 4)  8 Cu 2.59

Properties
Spin magnetization, μB per formula unit: 0.0
Uncorrected formation energy, meV per atom: 838
Energy relative to the lowest polymorph listed for this composition, meV/atom: 352
Crystal system: cubic

This record from the Alexandria database describes crystalline CuSiBSe2 at its relaxed geometry. The functional is PBE-GGA.

Cell: 4.9051 4.9051 4.4076 Å, 90.00 90.00 90.00°
Closest atoms and distances in Å follow each position.
Space group P4/mmm (No. 123)
Asymmetric unit:
Cu 0.0000 0.0000 0.0000 (multiplicity 1)  2 Si 2.20
Si 0.0000 0.0000 0.5000 (multiplicity 1)  2 Cu 2.20, 4 Se 2.45
B 0.5000 0.5000 0.0000 (multiplicity 1)  8 Se 3.30, 4 Cu 3.47
Se 0.0000 0.5000 0.5000 (multiplicity 2)  2 Si 2.45

Properties
Spin magnetization, μB per formula unit: 0.0
Uncorrected formation energy, meV per atom: 1216
Crystal system: tetragonal

This record from the Alexandria database describes crystalline SrCu2BSe at its relaxed geometry. The functional is PBE-GGA.

Cell: 4.1317 4.1317 5.6963 Å, 90.00 90.00 90.00°
Closest atoms and distances in Å follow each position.
Space group P4/mmm (No. 123)
Asymmetric unit:
Sr 0.0000 0.0000 0.0000 (multiplicity 1)  2 B 2.85, 4 Se 2.92
Cu 0.0000 0.5000 0.5000 (multiplicity 2)  2 B 2.07
B 0.0000 0.0000 0.5000 (multiplicity 1)  4 Cu 2.07
Se 0.5000 0.5000 0.0000 (multiplicity 1)  4 Sr 2.92

Properties
Spin magnetization, μB per formula unit: 0.0
Uncorrected formation energy, meV per atom: -33
Crystal system: tetragonal

This record from the Alexandria database describes crystalline SrCu2BSe4 at its relaxed geometry. The functional is PBE-GGA.

Cell: 6.4631 6.4631 7.9813 Å, 90.00 90.00 90.00°
Closest atoms and distances in Å follow each position.
Space group I-42m (No. 121)
Asymmetric unit:
Sr 0.0000 0.0000 0.0000 (multiplicity 2)  8 Se 3.10-3.29
Cu 0.0000 0.5000 0.2500 (multiplicity 4)  4 Se 2.50
B 0.0000 0.0000 0.5000 (multiplicity 2)  4 Se 2.07
Se 0.1858 0.1858 0.3523 (multiplicity 8)  1 B 2.07

Properties
Spin magnetization, μB per formula unit: 0.0
Uncorrected formation energy, meV per atom: -604
Crystal system: tetragonal